A plane-wave DFT calculation with GGA-PBE was carried out for a geometry-optimized Na4Ac3PbO8 structure.

Cell lengths 7.4758, 7.4758, 17.2024 Å; angles 90.00, 90.00, 120.00 degrees
Space group R-3m (No. 166, hexagonal axes)
Unique sites:
1 Na 0.0000 0.0000 0.0000 x3
2 Na 0.0000 0.5000 0.0000 x9
3 Ac 0.0000 0.5000 0.5000 x9
4 Pb 0.0000 0.0000 0.5000 x3
5 O 0.0000 0.0000 0.2392 x6
6 O 0.0053 0.5026 0.2427 x18

Summary:
Total energy ... -286.68 eV per cell
Volume ... 832.7 Å³/cell


A plane-wave DFT calculation with GGA-PBE was carried out for a geometry-optimized Tm3ScPd structure.

Cell lengths 11.071, 8.375, 7.542 Å; angles 90.00, 127.93, 90.00 degrees
Space group C2/m (No. 12)
Unique sites:
1 Tm 0.040 0.000 0.309 x4
2 Tm 0.205 0.301 0.731 x8
3 Sc 0.072 0.500 0.270 x4
4 Pd 0.227 0.500 0.081 x4

Summary:
Volume ... 551.7 Å³/cell
Energy relative to the elements ... -266 meV per atom


Please write out number 2 again, unchanged.
A plane-wave DFT calculation with GGA-PBE was carried out for a geometry-optimized Tm3ScPd structure.

Cell lengths 11.071, 8.375, 7.542 Å; angles 90.00, 127.93, 90.00 degrees
Space group C2/m (No. 12)
Unique sites:
1 Tm 0.040 0.000 0.309 x4
2 Tm 0.205 0.301 0.731 x8
3 Sc 0.072 0.500 0.270 x4
4 Pd 0.227 0.500 0.081 x4

Summary:
Volume ... 551.7 Å³/cell
Energy relative to the elements ... -266 meV per atom


Question: Which of these has the lowest volume?
Answer: Tm3ScPd